A geometry-optimized InPCl2F structure, computed with PBE-GGA.

Computed properties:
- D(E_F) (states/eV per cell) = 4.77
- formation energy (no corrections) (eV per atom) = 0.0002
- energy (eV/atom) = -2.742
- offset from the most stable computed form (meV per atom) = 272

Geometry as POSCAR:
```
InPCl2F
1.0
-1.744 -3.629 -2.943
-2.363 -2.024 3.897
-4.390 3.003 -1.102
P F Cl In
1 1 2 1
direct
0.000 0.000 0.500
0.500 0.500 0.500
0.000 0.500 0.000
0.500 0.000 0.000
0.000 0.000 0.000
```